Entry from Alexandria via LeMat-Bulk: a relaxed Ni2HF crystal (PBE+U).

Computed properties:
Total DFT energy (no corrections): -2.046 eV/atom
ρ: 5899 kg/m3

abc: 5.3681 5.3681 5.3681
angles: 90.00 90.00 90.00
Space group Fm-3m (No. 225)
Asymmetric unit:
Ni  0.2500  0.2500  0.2500 (multiplicity 8)
H  0.0000  0.0000  0.0000 (multiplicity 4)
F  0.0000  0.0000  0.5000 (multiplicity 4)